[1]
PBE TcAs2Au, optimized geometry; relative energy among the computed polymorphs = 360 meV per atom; DFT formation energy = 1.58 eV/f.u.
1.0
3.844 0.000 0.000
0.000 3.844 0.000
0.000 0.000 9.176
Tc As Au
2 4 2
Cartesian
0.000 0.000 0.000
1.922 1.922 4.588
0.000 0.000 4.588
0.000 1.922 6.882
1.922 0.000 2.294
1.922 1.922 0.000
0.000 1.922 2.294
1.922 0.000 6.882


[2]
PBE TcAs2Au, optimized geometry; relative energy among the computed polymorphs = 34 meV per atom; DFT formation energy = 0.28 eV/f.u.
1.0
3.069 0.000 0.000
0.000 3.069 0.000
0.000 0.000 7.455
Tc As Au
1 2 1
Cartesian
0.000 0.000 0.000
1.534 1.534 1.502
1.534 1.534 5.953
0.000 0.000 3.727


[3]
PBE TcAs2Au, optimized geometry; relative energy among the computed polymorphs = 209 meV per atom; DFT formation energy = 0.97 eV/f.u.
1.0
2.970 0.000 0.000
0.000 4.882 0.000
0.000 0.000 10.533
Tc As Au
2 4 2
Cartesian
0.000 0.000 0.000
1.485 2.441 0.000
0.000 2.441 2.076
0.000 2.441 8.458
1.485 0.000 2.076
1.485 0.000 8.458
0.000 0.000 5.267
1.485 2.441 5.267